(1)
This record from Alexandria describes an optimized crystal structure of Ce5Tc4. The functional is GGA-PBE.

extended XYZ file:
```
9
Lattice="3.2113 0.0016 0.0014 1.6045 7.4848 -0.9802 1.6045 0.0141 7.5487" Properties=species:S:1:pos:R:3 pbc="T T T"
Ce 1.6045 0.0284 7.5323
Ce 1.6045 2.4899 4.7221
Ce 1.6045 4.9946 1.8627
Ce 1.6057 2.7559 -0.0982
Ce 4.8147 7.2348 3.8250
Tc 3.2105 4.7673 4.5886
Tc 1.6060 0.1819 2.2587
Tc 4.8144 5.2375 6.6870
Tc 3.2099 2.3240 2.4485
```

Properties
Formation enthalpy at 0 K   -12.9 meV per atom
Space group   Immm (71)
Density of states at the Fermi level   14.17 states/eV per cell
Size of the total moment   0.00 μB per formula unit
Raw total energy   -7.92 eV per atom

(2)
This record from Alexandria describes an optimized crystal structure of Ce2TcTe. The functional is GGA-PBE.

extended XYZ file:
```
4
Lattice="-3.8669 -1.1704 -0.7773 -0.8224 -2.3290 -3.2903 -0.5365 -7.2458 2.6907" Properties=species:S:1:pos:R:3 pbc="T T T"
Te -2.6129 -5.3726 -0.6884
Tc 0.0000 0.0000 0.0000
Ce -1.3526 -2.4131 -0.5261
Ce -3.8732 -8.3322 -0.8508
```

Properties
Energy relative to the lowest polymorph listed for this composition   0 meV per atom
Space group   R-3m (166)
Density of states at the Fermi level   3.73 states/eV per cell
Size of the total moment   0.00 μB per formula unit
Uncorrected formation energy   -0.55 eV/atom
Raw total energy   -6.90 eV per atom

(3)
This record from Alexandria describes an optimized crystal structure of Ce6Tc2Te. The functional is GGA-PBE.

extended XYZ file:
```
9
Lattice="4.9390 0.0000 0.0000 -2.4695 5.1829 -0.3543 0.0000 -0.3184 8.9391" Properties=species:S:1:pos:R:3 pbc="T T T"
Ce 0.0000 0.2705 7.6675
Ce 2.4695 1.0488 1.3385
Ce 0.0000 3.8156 7.2464
Ce 2.4695 1.8665 5.3963
Ce 0.0000 2.9979 3.1885
Ce 2.4695 4.5939 0.9173
Tc 2.4695 2.1159 7.7316
Tc 0.0000 2.7486 0.8533
Te 0.0000 -0.1592 4.4696
```

Properties
Space group   C2/m (12)
Density of states at the Fermi level   19.26 states/eV per cell
Size of the total moment   0.00 μB per formula unit
Uncorrected formation energy   -0.34 eV/atom
Raw total energy   -6.95 eV per atom